Entry 1:
Here is a geometry-optimized PmEr2Mg2 structure from Alexandria via LeMat-Bulk. Energies are from PBE-GGA.

## Properties
Its formation energy is 0.055 eV per atom. The calculation puts the spin magnetization at 0.003 μB per formula unit. The value obtained for the polymorph energy (0 for the lowest one) is 118 meV/atom. Its symmetry is P4/mbm, No. 127.

a = 8.9814 Å, b = 8.9814 Å, c = 3.5730 Å
α = 90.00°, β = 90.00°, γ = 90.00°
With the nearest neighbours (Å) after each atom.
Atoms (fractional coordinates):
Pm (0.0000, 0.0000, 0.0000)  4 Er 3.52, 2 Pm 3.57, 8 Mg 3.79
Pm (0.5000, 0.5000, 0.0000)  4 Er 3.52, 2 Pm 3.57, 8 Mg 3.79
Er (0.1306, 0.3694, 0.0000)  6 Mg 3.13-3.23, 1 Er 3.32
Er (0.3694, 0.8694, 0.0000)  6 Mg 3.13-3.23, 1 Er 3.32
Er (0.6306, 0.1306, 0.0000)  6 Mg 3.13-3.23, 1 Er 3.32
Er (0.8694, 0.6306, 0.0000)  6 Mg 3.13-3.23, 1 Er 3.32
Mg (0.1668, 0.6668, 0.5000)  6 Er 3.13-3.23
Mg (0.3332, 0.1668, 0.5000)  6 Er 3.13-3.23
Mg (0.6668, 0.8332, 0.5000)  6 Er 3.13-3.23
Mg (0.8332, 0.3332, 0.5000)  6 Er 3.13-3.23

---

Entry 2:
Here is a geometry-optimized Pm15Er4Mg structure from Alexandria via LeMat-Bulk. Energies are from PBE-GGA.

## Properties
Its formation energy is 0.010 eV per atom. The calculation puts the spin magnetization at 0.000 μB per formula unit. Its symmetry is P4/mmm, No. 123.

a = 5.0876 Å, b = 5.0876 Å, c = 25.5125 Å
α = 90.00°, β = 90.00°, γ = 90.00°
With the nearest neighbours (Å) after each atom.
Atoms (fractional coordinates):
Pm (0.0000, 0.0000, 0.0000)  8 Pm 3.57, 4 Mg 3.60
Pm (0.0000, 0.0000, 0.1974)  8 Pm 3.58-3.63, 4 Er 3.60
Pm (0.0000, 0.0000, 0.3992)  4 Er 3.60, 8 Pm 3.61-3.62
Pm (0.0000, 0.0000, 0.6008)  4 Er 3.60, 8 Pm 3.61-3.62
Pm (0.0000, 0.0000, 0.8026)  8 Pm 3.58-3.63, 4 Er 3.60
Pm (0.0000, 0.5000, 0.0984)  2 Mg 3.57, 8 Pm 3.57-3.60, 2 Er 3.60
Pm (0.0000, 0.5000, 0.2989)  8 Pm 3.60-3.63, 4 Er 3.61-3.62
Pm (0.0000, 0.5000, 0.5000)  8 Pm 3.60-3.62, 4 Er 3.61
Pm (0.0000, 0.5000, 0.7011)  8 Pm 3.60-3.63, 4 Er 3.61-3.62
Pm (0.0000, 0.5000, 0.9016)  2 Mg 3.57, 8 Pm 3.57-3.60, 2 Er 3.60
Pm (0.5000, 0.0000, 0.0984)  2 Mg 3.57, 8 Pm 3.57-3.60, 2 Er 3.60
Pm (0.5000, 0.0000, 0.2989)  8 Pm 3.60-3.63, 4 Er 3.61-3.62
Pm (0.5000, 0.0000, 0.5000)  8 Pm 3.60-3.62, 4 Er 3.61
Pm (0.5000, 0.0000, 0.7011)  8 Pm 3.60-3.63, 4 Er 3.61-3.62
Pm (0.5000, 0.0000, 0.9016)  2 Mg 3.57, 8 Pm 3.57-3.60, 2 Er 3.60
Er (0.5000, 0.5000, 0.1980)  12 Pm 3.60-3.62
Er (0.5000, 0.5000, 0.3995)  12 Pm 3.60-3.61
Er (0.5000, 0.5000, 0.6005)  12 Pm 3.60-3.61
Er (0.5000, 0.5000, 0.8020)  12 Pm 3.60-3.62
Mg (0.5000, 0.5000, 0.0000)  12 Pm 3.57-3.60

---

Entry 3:
Here is a geometry-optimized Pm2ErMg structure from Alexandria via LeMat-Bulk. Energies are from PBE-GGA.

## Properties
Its formation energy is 0.180 eV per atom. The calculation puts the spin magnetization at 0.000 μB per formula unit. The value obtained for the polymorph energy (0 for the lowest one) is 208 meV/atom. Its symmetry is R-3m, No. 166.

a = 3.4814 Å, b = 3.4814 Å, c = 37.2165 Å
α = 90.00°, β = 90.00°, γ = 120.00°
With the nearest neighbours (Å) after each atom.
Atoms (fractional coordinates):
Pm (0.0000, 0.0000, 0.0896)  1 Mg 3.33, 6 Pm 3.48, 3 Er 3.50
Pm (0.0000, 0.0000, 0.9104)  1 Mg 3.33, 6 Pm 3.48, 3 Er 3.50
Pm (0.3333, 0.6667, 0.5771)  1 Mg 3.33, 6 Pm 3.48, 3 Er 3.50
Pm (0.3333, 0.6667, 0.7562)  1 Mg 3.33, 6 Pm 3.48, 3 Er 3.50
Pm (0.6667, 0.3333, 0.2438)  1 Mg 3.33, 6 Pm 3.48, 3 Er 3.50
Pm (0.6667, 0.3333, 0.4229)  1 Mg 3.33, 6 Pm 3.48, 3 Er 3.50
Er (0.0000, 0.0000, 0.5000)  6 Er 3.48, 6 Pm 3.50
Er (0.3333, 0.6667, 0.1667)  6 Er 3.48, 6 Pm 3.50
Er (0.6667, 0.3333, 0.8333)  6 Er 3.48, 6 Pm 3.50
Mg (0.0000, 0.0000, 0.0000)  2 Pm 3.33, 6 Mg 3.48
Mg (0.3333, 0.6667, 0.6667)  2 Pm 3.33, 6 Mg 3.48
Mg (0.6667, 0.3333, 0.3333)  2 Pm 3.33, 6 Mg 3.48

---

Entry 4:
Here is a geometry-optimized PmEr2Mg4 structure from Alexandria via LeMat-Bulk. Energies are from PBE-GGA.

## Properties
Its formation energy is 0.373 eV per atom. The calculation puts the spin magnetization at 0.000 μB per formula unit. The value obtained for the polymorph energy (0 for the lowest one) is 280 meV/atom. Its symmetry is Cmmm, No. 65.

a = 5.9685 Å, b = 12.8940 Å, c = 5.4790 Å
α = 90.00°, β = 90.00°, γ = 90.00°
With the nearest neighbours (Å) after each atom.
Atoms (fractional coordinates):
Pm (0.0000, 0.0000, 0.0000)  6 Mg 3.16-3.23
Pm (0.5000, 0.5000, 0.0000)  6 Mg 3.16-3.23
Er (0.0000, 0.3692, 0.5000)  5 Mg 2.99-3.18
Er (0.0000, 0.6308, 0.5000)  5 Mg 2.99-3.18
Er (0.5000, 0.1308, 0.5000)  5 Mg 2.99-3.18
Er (0.5000, 0.8692, 0.5000)  5 Mg 2.99-3.18
Mg (0.0000, 0.1227, 0.5000)  3 Er 2.99-3.18, 3 Mg 3.16-3.20, 2 Pm 3.16
Mg (0.0000, 0.2504, 0.0000)  4 Mg 2.98-3.20, 2 Er 3.14, 1 Pm 3.23
Mg (0.0000, 0.7496, 0.0000)  4 Mg 2.98-3.20, 2 Er 3.14, 1 Pm 3.23
Mg (0.0000, 0.8773, 0.5000)  3 Er 2.99-3.18, 3 Mg 3.16-3.20, 2 Pm 3.16
Mg (0.5000, 0.2496, 0.0000)  4 Mg 2.98-3.20, 2 Er 3.14, 1 Pm 3.23
Mg (0.5000, 0.3773, 0.5000)  3 Er 2.99-3.18, 3 Mg 3.16-3.20, 2 Pm 3.16
Mg (0.5000, 0.6227, 0.5000)  3 Er 2.99-3.18, 3 Mg 3.16-3.20, 2 Pm 3.16
Mg (0.5000, 0.7504, 0.0000)  4 Mg 2.98-3.20, 2 Er 3.14, 1 Pm 3.23